[1]
Entry from Alexandria: a relaxed structure of OsSF2 (GGA-PBE).

Cell: 9.864 9.864 9.864 Å, 15.42 15.42 15.42°
Positions (direct):
Os  0.000  0.000  0.000
S  0.500  0.500  0.500
F  0.442  0.442  0.442
F  0.558  0.558  0.558

Properties
- Excess energy over the best structure of this formula in the dataset: 0.4704 eV/atom
- Raw total energy: -19.3 eV/cell
- ρ: 7.3 g/cm3
- Calculated volume: 14.78 A^3/atom
- Crystal system: trigonal
- Energy relative to the elements, uncorrected: -51 meV per atom


[2]
Entry from Alexandria: a relaxed structure of Nd3Ag2Hg4 (GGA-PBE).

Cell: 5.408 5.408 9.238 Å, 96.77 96.77 58.59°
Positions (direct):
Nd  0.000  0.000  0.000
Nd  0.375  0.375  0.279
Nd  0.625  0.625  0.721
Ag  0.277  0.277  0.602
Ag  0.723  0.723  0.398
Hg  0.054  0.054  0.351
Hg  0.320  0.320  0.920
Hg  0.680  0.680  0.080
Hg  0.946  0.946  0.649

Properties
- Excess energy over the best structure of this formula in the dataset: 0.0237 eV/atom
- Raw total energy: -24.6 eV/cell
- ρ: 10.5 g/cm3
- Calculated volume: 25.38 A^3/atom
- Crystal system: monoclinic


Repeat the first record exactly.
Entry from Alexandria: a relaxed structure of OsSF2 (GGA-PBE).

Cell: 9.864 9.864 9.864 Å, 15.42 15.42 15.42°
Positions (direct):
Os  0.000  0.000  0.000
S  0.500  0.500  0.500
F  0.442  0.442  0.442
F  0.558  0.558  0.558

Properties
- Excess energy over the best structure of this formula in the dataset: 0.4704 eV/atom
- Raw total energy: -19.3 eV/cell
- ρ: 7.3 g/cm3
- Calculated volume: 14.78 A^3/atom
- Crystal system: trigonal
- Energy relative to the elements, uncorrected: -51 meV per atom